# 1
This record from the Alexandria database describes AgAsF2 after structural relaxation. The functional is PBE.

Properties
Energy relative to the lowest polymorph listed for this composition: 471 meV/atom
Space-group type: Fm-3m

a = 6.1018 Å, b = 6.1018 Å, c = 6.1018 Å
α = 90.00°, β = 90.00°, γ = 90.00°
Closest atoms and distances in Å follow each position.
Positions (direct):
1 Ag 0.0000 0.0000 0.0000  8 F 2.64
2 Ag 0.0000 0.5000 0.5000  8 F 2.64
3 Ag 0.5000 0.0000 0.5000  8 F 2.64
4 Ag 0.5000 0.5000 0.0000  8 F 2.64
5 As 0.0000 0.0000 0.5000  8 F 2.64
6 As 0.0000 0.5000 0.0000  8 F 2.64
7 As 0.5000 0.0000 0.0000  8 F 2.64
8 As 0.5000 0.5000 0.5000  8 F 2.64
9 F 0.2500 0.2500 0.2500  4 As 2.64, 4 Ag 2.64
10 F 0.2500 0.2500 0.7500  4 As 2.64, 4 Ag 2.64
11 F 0.2500 0.7500 0.2500  4 As 2.64, 4 Ag 2.64
12 F 0.2500 0.7500 0.7500  4 As 2.64, 4 Ag 2.64
13 F 0.7500 0.2500 0.2500  4 As 2.64, 4 Ag 2.64
14 F 0.7500 0.2500 0.7500  4 As 2.64, 4 Ag 2.64
15 F 0.7500 0.7500 0.2500  4 As 2.64, 4 Ag 2.64
16 F 0.7500 0.7500 0.7500  4 As 2.64, 4 Ag 2.64

# 2
This record from the Alexandria database describes NbVCo2H after structural relaxation. The functional is PBE.

Properties
Energy relative to the lowest polymorph listed for this composition: 43 meV/atom
Space-group type: P4/mmm

a = 3.7016 Å, b = 3.7016 Å, c = 3.9381 Å
α = 90.00°, β = 90.00°, γ = 90.00°
Closest atoms and distances in Å follow each position.
Positions (direct):
1 Nb 0.0000 0.0000 0.0000  2 H 1.97
2 V 0.5000 0.5000 0.0000  4 Nb 2.62, 8 Co 2.70
3 Co 0.0000 0.5000 0.5000  2 H 1.85
4 Co 0.5000 0.0000 0.5000  2 H 1.85
5 H 0.0000 0.0000 0.5000  4 Co 1.85, 2 Nb 1.97

# 3
This record from the Alexandria database describes TlZnIn2Hg6 after structural relaxation. The functional is PBE.

Properties
ΔH_f (0 K): 43.5 meV/atom
Space-group type: P2_1/c

a = 6.7775 Å, b = 8.8101 Å, c = 10.8608 Å
α = 90.00°, β = 123.81°, γ = 90.00°
Closest atoms and distances in Å follow each position.
Positions (direct):
1 Tl 0.0000 0.0000 0.0000  6 Hg 3.22-3.48, 2 In 3.59
2 Tl 0.0000 0.5000 0.5000  6 Hg 3.22-3.48, 2 In 3.59
3 Zn 0.5000 0.0000 0.5000  6 Hg 2.80-3.06
4 Zn 0.5000 0.5000 0.0000  6 Hg 2.80-3.06
5 In 0.4018 0.1269 0.7432  7 Hg 3.00-3.30, 1 Zn 3.26
6 In 0.4018 0.3731 0.2432  7 Hg 3.00-3.30, 1 Zn 3.26
7 In 0.5982 0.6269 0.7568  7 Hg 3.00-3.30, 1 Zn 3.26
8 In 0.5982 0.8731 0.2568  7 Hg 3.00-3.30, 1 Zn 3.26
9 Hg 0.0755 0.1565 0.2967  1 Zn 2.83, 2 Hg 3.12-3.15
10 Hg 0.0755 0.3435 0.7967  1 Zn 2.83, 2 Hg 3.12-3.15
11 Hg 0.1537 0.6511 0.0185  1 Zn 2.80
12 Hg 0.1537 0.8489 0.5185  1 Zn 2.80
13 Hg 0.4755 0.6636 0.4229  3 In 3.00-3.25, 1 Zn 3.06, 4 Hg 3.12-3.32
14 Hg 0.4755 0.8364 0.9229  3 In 3.00-3.25, 1 Zn 3.06, 4 Hg 3.12-3.32
15 Hg 0.5245 0.1636 0.0771  3 In 3.00-3.25, 1 Zn 3.06, 4 Hg 3.12-3.32
16 Hg 0.5245 0.3364 0.5771  3 In 3.00-3.25, 1 Zn 3.06, 4 Hg 3.12-3.32
17 Hg 0.8463 0.1511 0.4815  1 Zn 2.80
18 Hg 0.8463 0.3489 0.9815  1 Zn 2.80
19 Hg 0.9245 0.6565 0.2033  1 Zn 2.83, 2 Hg 3.12-3.15
20 Hg 0.9245 0.8435 0.7033  1 Zn 2.83, 2 Hg 3.12-3.15

# 4
This record from the Alexandria database describes Pr8Nd3Ho4 after structural relaxation. The functional is PBE.

Properties
ΔH_f (0 K): 318.2 meV/atom
Space-group type: C2/m

a = 9.3332 Å, b = 9.3332 Å, c = 6.9486 Å
α = 110.75°, β = 110.75°, γ = 83.08°
Closest atoms and distances in Å follow each position.
Positions (direct):
1 Pr 0.2047 0.2047 0.1741  4 Pr 3.40-3.66, 2 Nd 3.49, 3 Ho 3.65-3.71
2 Pr 0.2059 0.7941 0.0000  4 Pr 3.52-3.59, 2 Nd 3.54, 3 Ho 3.62-3.64
3 Pr 0.2540 0.7460 0.5000  1 Ho 3.05, 1 Nd 3.14
4 Pr 0.2562 0.2562 0.7041  3 Ho 3.03-3.39, 1 Nd 3.16
5 Pr 0.7438 0.7438 0.2959  3 Ho 3.03-3.39, 1 Nd 3.16
6 Pr 0.7460 0.2540 0.5000  1 Ho 3.05, 1 Nd 3.14
7 Pr 0.7941 0.2059 0.0000  4 Pr 3.52-3.59, 2 Nd 3.54, 3 Ho 3.62-3.64
8 Pr 0.7953 0.7953 0.8259  4 Pr 3.40-3.66, 2 Nd 3.49, 3 Ho 3.65-3.71
9 Nd 0.0000 0.0000 0.5000  4 Pr 3.14-3.16
10 Nd 0.0000 0.5000 0.0000  2 Ho 3.47, 8 Pr 3.49-3.74
11 Nd 0.5000 0.0000 0.0000  2 Ho 3.47, 8 Pr 3.49-3.74
12 Ho 0.0000 0.5000 0.5000  8 Pr 3.39-3.71, 2 Nd 3.47
13 Ho 0.5000 0.0000 0.5000  8 Pr 3.39-3.71, 2 Nd 3.47
14 Ho 0.5000 0.5000 0.0000  2 Pr 3.03
15 Ho 0.5000 0.5000 0.5000  2 Pr 3.05

# 5
This record from the Alexandria database describes Zn2Tc after structural relaxation. The functional is PBE.

Properties
Energy relative to the lowest polymorph listed for this composition: 662 meV/atom
ΔH_f (0 K): 661.9 meV/atom
Space-group type: Fm-3m

a = 5.9898 Å, b = 5.9898 Å, c = 5.9898 Å
α = 90.00°, β = 90.00°, γ = 90.00°
Closest atoms and distances in Å follow each position.
Positions (direct):
1 Zn 0.2500 0.2500 0.2500  4 Tc 2.59
2 Zn 0.2500 0.2500 0.7500  4 Tc 2.59
3 Zn 0.2500 0.7500 0.2500  4 Tc 2.59
4 Zn 0.2500 0.7500 0.7500  4 Tc 2.59
5 Zn 0.7500 0.2500 0.2500  4 Tc 2.59
6 Zn 0.7500 0.2500 0.7500  4 Tc 2.59
7 Zn 0.7500 0.7500 0.2500  4 Tc 2.59
8 Zn 0.7500 0.7500 0.7500  4 Tc 2.59
9 Tc 0.0000 0.0000 0.0000  8 Zn 2.59
10 Tc 0.0000 0.5000 0.5000  8 Zn 2.59
11 Tc 0.5000 0.0000 0.5000  8 Zn 2.59
12 Tc 0.5000 0.5000 0.0000  8 Zn 2.59

# 6
This record from the Alexandria database describes KAl after structural relaxation. The functional is PBE.

Properties
Energy relative to the lowest polymorph listed for this composition: 129 meV/atom
ΔH_f (0 K): 246.6 meV/atom
Space-group type: P4/nmm

a = 3.7106 Å, b = 3.7106 Å, c = 10.3938 Å
α = 90.00°, β = 90.00°, γ = 90.00°
Closest atoms and distances in Å follow each position.
Positions (direct):
1 K 0.2500 0.2500 0.2003  5 Al 3.64-3.68, 4 K 3.71
2 K 0.7500 0.7500 0.7997  5 Al 3.64-3.68, 4 K 3.71
3 Al 0.2500 0.2500 0.5509  4 Al 2.83
4 Al 0.7500 0.7500 0.4491  4 Al 2.83